No. 1
# AlCuOs

A relaxed structure of AlCuOs (PBE-GGA, the Alexandria database).

## Properties
- Calculated total energy: -6.3230 eV per atom
- DOS at the Fermi energy: 1.4 states/eV per cell
- ΔH_f (0 K): 33 meV per atom

Lattice parameters (Å, degrees): 2.762 2.762 6.265 90.00 90.00 120.00
Atoms (fractional coordinates):
Al: 0.000 0.000 0.000
Cu: 0.667 0.333 0.321
Os: 0.333 0.667 0.670


No. 2
# AlCu3Os

A relaxed structure of AlCu3Os (PBE-GGA, the Alexandria database).

## Properties
- Calculated total energy: -4.0972 eV per atom
- DOS at the Fermi energy: 6.1 states/eV per cell
- ΔH_f (0 K): 1355 meV per atom

Lattice parameters (Å, degrees): 4.640 4.640 4.640 90.00 90.00 90.00
Atoms (fractional coordinates):
Al: 0.000 0.000 0.000
Cu: 0.000 0.500 0.500
Cu: 0.500 0.000 0.500
Cu: 0.500 0.500 0.000
Os: 0.500 0.500 0.500


No. 3
# Al2CuOs

A relaxed structure of Al2CuOs (PBE-GGA, the Alexandria database).

## Properties
- Calculated total energy: -5.8318 eV per atom
- DOS at the Fermi energy: 3.0 states/eV per cell
- ΔH_f (0 K): -129 meV per atom

Lattice parameters (Å, degrees): 8.451 8.451 8.451 19.14 19.14 19.14
Atoms (fractional coordinates):
Al: 0.250 0.250 0.250
Al: 0.750 0.750 0.750
Cu: 0.500 0.500 0.500
Os: 0.000 0.000 0.000


| no. | total moment (μB per formula unit) |
| --- | --- |
| 1 | 0.000 |
| 2 | 0.000 |
| 3 | 0.000 |